No. 1
LiScTc2 GGA-PBE relaxed; E_form = 0.333 eV per atom; symmetry = R-3m, No. 166
1.0
9.468 -0.036 -0.021
9.058 2.758 -0.021
9.058 1.331 2.415
Li Sc Tc
1 1 2
direct
0.250 0.250 0.250
0.750 0.750 0.750
0.999 0.999 0.999
0.501 0.501 0.501

---

No. 2
BaSiAu GGA-PBE relaxed; uncorrected formation energy = -0.576 eV/atom; symmetry = P-6m2, No. 187
1.0
-3.729 0.081 -2.258
2.629 -3.469 -0.256
-2.408 -2.114 3.901
Si Au Ba
1 1 1
direct
0.333 0.667 0.833
0.000 0.000 0.833
0.667 0.333 0.333

---

No. 3
La2TbSm9 GGA-PBE relaxed; E_form = 0.020 eV per atom; symmetry = P4/mmm, No. 123
1.0
5.149 0.000 0.000
0.000 5.149 0.000
0.000 0.000 15.475
La Tb Sm
2 1 9
direct
0.000 0.000 0.333
0.000 0.000 0.667
0.000 0.000 0.000
0.500 0.500 0.000
0.500 0.500 0.331
0.500 0.500 0.669
0.500 0.000 0.164
0.500 0.000 0.500
0.500 0.000 0.836
0.000 0.500 0.164
0.000 0.500 0.500
0.000 0.500 0.836

---

no.,E_tot (eV/atom)
1,-6.9117
2,-4.1167
3,-4.7262